VASP calculation (GGA-PBE) on Pm2BiPd after structural relaxation.

The space group is Fm-3m (No. 225) and the conventional cell measures 7.5605, 7.5605 and 7.5605 Å, with angles of 90.00, 90.00 and 90.00 degrees. The inequivalent atoms are Pm at (0.2500, 0.2500, 0.2500), Bi at (0.0000, 0.0000, 0.0000) and Pd at (0.0000, 0.0000, 0.5000).

The value obtained for the density of states at the Fermi level is 3.259 states/eV/f.u. The excess energy over the best structure of this formula in the dataset comes out at 26 meV/atom. As for the raw total energy: -5.31 eV/atom. The formation energy comes out at -0.662 eV per atom. For the size of the total moment, the calculation gives 0.9 μB/f.u.


VASP calculation (GGA-PBE) on PmBi3Pd12 after structural relaxation.

The space group is P4/mmm (No. 123) and the conventional cell measures 4.1617, 4.1617 and 16.5087 Å, with angles of 90.00, 90.00 and 90.00 degrees. The inequivalent atoms are Pm at (0.0000, 0.0000, 0.0000), Bi at (0.0000, 0.0000, 0.2499), Bi at (0.0000, 0.0000, 0.5000), Pd at (0.0000, 0.5000, 0.1279), Pd at (0.0000, 0.5000, 0.3758), Pd at (0.5000, 0.5000, 0.0000), Pd at (0.5000, 0.5000, 0.2545) and Pd at (0.5000, 0.5000, 0.5000).

The value obtained for the density of states at the Fermi level is 6.656 states/eV/f.u. As for the raw total energy: -5.29 eV/atom. The formation energy comes out at -0.375 eV per atom. For the size of the total moment, the calculation gives 0.0 μB/f.u.


VASP calculation (GGA-PBE) on PmBi6Pd12 after structural relaxation.

The space group is R-3m (No. 166, hexagonal axes) and the conventional cell measures 12.2048, 12.2048 and 9.6987 Å, with angles of 90.00, 90.00 and 120.00 degrees. The inequivalent atoms are Pm at (0.0000, 0.0000, 0.0000), Bi at (0.0624, 0.5312, 0.2692), Pd at (0.0000, 0.3806, 0.5000) and Pd at (0.0783, 0.1565, 0.2529).

The value obtained for the density of states at the Fermi level is 8.086 states/eV/f.u. As for the raw total energy: -4.97 eV/atom. The formation energy comes out at -0.219 eV per atom. For the size of the total moment, the calculation gives 0.0 μB/f.u.


VASP calculation (GGA-PBE) on Pm5BiPd2 after structural relaxation.

The space group is I4/mcm (No. 140) and the conventional cell measures 8.1166, 8.1166 and 13.7859 Å, with angles of 90.00, 90.00 and 90.00 degrees. The inequivalent atoms are Pm at (0.0000, 0.0000, 0.0000), Pm at (0.1548, 0.3452, 0.1405), Bi at (0.0000, 0.0000, 0.2500) and Pd at (0.1347, 0.3653, 0.5000).

The value obtained for the density of states at the Fermi level is 8.272 states/eV/f.u. As for the raw total energy: -5.40 eV/atom. The formation energy comes out at -0.643 eV per atom. For the size of the total moment, the calculation gives 0.0 μB/f.u.


VASP calculation (GGA-PBE) on PmBiPd after structural relaxation.

The space group is Cmcm (No. 63) and the conventional cell measures 5.1734, 8.6303 and 6.7165 Å, with angles of 90.00, 90.00 and 90.00 degrees. The inequivalent atoms are Pm at (0.0000, 0.1602, 0.2500), Bi at (0.0000, 0.5000, 0.0000) and Pd at (0.0000, 0.1794, 0.7500).

The value obtained for the density of states at the Fermi level is 1.044 states/eV/f.u. The excess energy over the best structure of this formula in the dataset comes out at 234 meV/atom. As for the raw total energy: -5.32 eV/atom. The formation energy comes out at -0.714 eV per atom. For the size of the total moment, the calculation gives 0.0 μB/f.u.


VASP calculation (GGA-PBE) on Pm3Bi12Pd5 after structural relaxation.

The space group is Ia-3d (No. 230) and the conventional cell measures 17.2259, 17.2259 and 17.2259 Å, with angles of 90.00, 90.00 and 90.00 degrees. The inequivalent atoms are Pm at (0.0000, 0.2500, 0.1250), Bi at (0.0286, 0.0668, 0.6456), Pd at (0.0000, 0.0000, 0.0000) and Pd at (0.0000, 0.2500, 0.3750).

The value obtained for the density of states at the Fermi level is 9.657 states/eV/f.u. As for the raw total energy: -4.47 eV/atom. The formation energy comes out at -0.129 eV per atom. For the size of the total moment, the calculation gives 0.0 μB/f.u.


VASP calculation (GGA-PBE) on Pm2BiPd5 after structural relaxation.

The space group is I4mm (No. 107) and the conventional cell measures 6.3813, 6.3813 and 8.1584 Å, with angles of 90.00, 90.00 and 90.00 degrees. The inequivalent atoms are Pm at (0.0000, 0.5000, 0.0000), Bi at (0.0000, 0.0000, 0.3663), Pd at (0.0000, 0.0000, 0.0077) and Pd at (0.2158, 0.2158, 0.7397).

The value obtained for the density of states at the Fermi level is 3.029 states/eV/f.u. As for the raw total energy: -5.58 eV/atom. The formation energy comes out at -0.658 eV per atom. For the size of the total moment, the calculation gives 0.0 μB/f.u.


VASP calculation (GGA-PBE) on PmBiPd6 after structural relaxation.

The space group is R-3m (No. 166, hexagonal axes) and the conventional cell measures 5.4863, 5.4863 and 21.3578 Å, with angles of 90.00, 90.00 and 120.00 degrees. The inequivalent atoms are Pm at (0.0000, 0.0000, 0.0000), Bi at (0.0000, 0.0000, 0.5000) and Pd at (0.0065, 0.5032, 0.9363).

The value obtained for the density of states at the Fermi level is 3.591 states/eV/f.u. The excess energy over the best structure of this formula in the dataset comes out at 294 meV/atom. As for the raw total energy: -5.19 eV/atom. The formation energy comes out at -0.220 eV per atom. For the size of the total moment, the calculation gives 0.0 μB/f.u.


VASP calculation (GGA-PBE) on Pm3BiPd12 after structural relaxation.

The space group is P4/mmm (No. 123) and the conventional cell measures 4.1797, 4.1797 and 16.6357 Å, with angles of 90.00, 90.00 and 90.00 degrees. The inequivalent atoms are Pm at (0.0000, 0.0000, 0.0000), Pm at (0.0000, 0.0000, 0.2490), Bi at (0.0000, 0.0000, 0.5000), Pd at (0.0000, 0.5000, 0.1261), Pd at (0.0000, 0.5000, 0.3790), Pd at (0.5000, 0.5000, 0.0000), Pd at (0.5000, 0.5000, 0.2554) and Pd at (0.5000, 0.5000, 0.5000).

The value obtained for the density of states at the Fermi level is 5.714 states/eV/f.u. As for the raw total energy: -5.69 eV/atom. The formation energy comes out at -0.658 eV per atom. For the size of the total moment, the calculation gives 0.0 μB/f.u.


VASP calculation (GGA-PBE) on Pm4BiPd after structural relaxation.

The space group is Cmcm (No. 63) and the conventional cell measures 5.6694, 20.7129 and 6.4948 Å, with angles of 90.00, 90.00 and 90.00 degrees. The inequivalent atoms are Pm at (0.0000, 0.0510, 0.2500), Pm at (0.0000, 0.2048, 0.0024), Pm at (0.0000, 0.3906, 0.2500), Bi at (0.0000, 0.3527, 0.7500) and Pd at (0.0000, 0.0831, 0.7500).

The value obtained for the density of states at the Fermi level is 6.239 states/eV/f.u. As for the raw total energy: -5.12 eV/atom. The formation energy comes out at -0.438 eV per atom. For the size of the total moment, the calculation gives 0.0 μB/f.u.


VASP calculation (GGA-PBE) on PmBiPd after structural relaxation.

The space group is I4mm (No. 107) and the conventional cell measures 4.1319, 4.1319 and 9.1822 Å, with angles of 90.00, 90.00 and 90.00 degrees. The inequivalent atoms are Pm at (0.0000, 0.0000, 0.0000), Bi at (0.0000, 0.0000, 0.3330) and Pd at (0.0000, 0.0000, 0.6476).

The value obtained for the density of states at the Fermi level is 2.110 states/eV/f.u. The excess energy over the best structure of this formula in the dataset comes out at 425 meV/atom. As for the raw total energy: -5.13 eV/atom. The formation energy comes out at -0.523 eV per atom. For the size of the total moment, the calculation gives 0.0 μB/f.u.


VASP calculation (GGA-PBE) on PmBiPd5 after structural relaxation.

The space group is Pnma (No. 62) and the conventional cell measures 8.8531, 5.5380 and 11.0150 Å, with angles of 90.00, 90.00 and 90.00 degrees. The inequivalent atoms are Pm at (0.2435, 0.2500, 0.0493), Bi at (0.1531, 0.2500, 0.3490), Pd at (0.0631, 0.5046, 0.8044), Pd at (0.0721, 0.2500, 0.5834), Pd at (0.0964, 0.7500, 0.0224) and Pd at (0.1831, 0.7500, 0.2670).

The value obtained for the density of states at the Fermi level is 4.196 states/eV/f.u. As for the raw total energy: -5.46 eV/atom. The formation energy comes out at -0.516 eV per atom. For the size of the total moment, the calculation gives 0.0 μB/f.u.


VASP calculation (GGA-PBE) on PmBiPd6 after structural relaxation.

The space group is P4/mmm (No. 123) and the conventional cell measures 4.1638, 4.1638 and 8.3199 Å, with angles of 90.00, 90.00 and 90.00 degrees. The inequivalent atoms are Pm at (0.0000, 0.0000, 0.0000), Bi at (0.0000, 0.0000, 0.5000), Pd at (0.0000, 0.5000, 0.2541), Pd at (0.5000, 0.5000, 0.0000) and Pd at (0.5000, 0.5000, 0.5000).

The value obtained for the density of states at the Fermi level is 3.772 states/eV/f.u. The excess energy over the best structure of this formula in the dataset comes out at 0 meV/atom. As for the raw total energy: -5.49 eV/atom. The formation energy comes out at -0.513 eV per atom. For the size of the total moment, the calculation gives 0.0 μB/f.u.


VASP calculation (GGA-PBE) on Pm8Bi2Pd after structural relaxation.

The space group is C2/m (No. 12) and the conventional cell measures 19.4285, 4.9014 and 7.4189 Å, with angles of 90.00, 98.59 and 90.00 degrees. The inequivalent atoms are Pm at (0.0049, 0.0000, 0.2715), Pm at (0.0939, 0.5000, 0.0074), Pm at (0.1464, 0.5000, 0.5360), Pm at (0.2141, 0.0000, 0.8480), Bi at (0.1829, 0.0000, 0.2777) and Pd at (0.0000, 0.5000, 0.5000).

The value obtained for the density of states at the Fermi level is 12.360 states/eV/f.u. As for the raw total energy: -5.04 eV/atom. The formation energy comes out at -0.409 eV per atom. For the size of the total moment, the calculation gives 0.0 μB/f.u.


VASP calculation (GGA-PBE) on Pm2BiPd9 after structural relaxation.

The space group is P4/mmm (No. 123) and the conventional cell measures 4.1743, 4.1743 and 12.4669 Å, with angles of 90.00, 90.00 and 90.00 degrees. The inequivalent atoms are Pm at (0.0000, 0.0000, 0.1657), Bi at (0.0000, 0.0000, 0.5000), Pd at (0.0000, 0.5000, 0.0000), Pd at (0.0000, 0.5000, 0.3377), Pd at (0.5000, 0.5000, 0.1724) and Pd at (0.5000, 0.5000, 0.5000).

The value obtained for the density of states at the Fermi level is 3.292 states/eV/f.u. As for the raw total energy: -5.62 eV/atom. The formation energy comes out at -0.613 eV per atom. For the size of the total moment, the calculation gives 0.0 μB/f.u.


VASP calculation (GGA-PBE) on PmPuBiPd after structural relaxation.

The space group is F-43m (No. 216) and the conventional cell measures 7.5210, 7.5210 and 7.5210 Å, with angles of 90.00, 90.00 and 90.00 degrees. The inequivalent atoms are Pm at (0.0000, 0.0000, 0.0000), Pu at (0.0000, 0.0000, 0.5000), Bi at (0.2500, 0.2500, 0.2500) and Pd at (0.2500, 0.2500, 0.7500).

The value obtained for the density of states at the Fermi level is 12.203 states/eV/f.u. As for the raw total energy: -7.52 eV/atom. The formation energy comes out at -0.477 eV per atom. For the size of the total moment, the calculation gives 6.2 μB/f.u.


VASP calculation (GGA-PBE) on PmBiPdRh after structural relaxation.

The space group is Amm2 (No. 38) and the conventional cell measures 4.1999, 4.0176 and 10.5039 Å, with angles of 90.00, 90.00 and 90.00 degrees. The inequivalent atoms are Pm at (0.0000, 0.0000, 0.0000), Bi at (0.5000, 0.0000, 0.7217), Pd at (0.0000, 0.0000, 0.2799) and Rh at (0.5000, 0.0000, 0.4547).

The value obtained for the density of states at the Fermi level is 1.736 states/eV/f.u. The excess energy over the best structure of this formula in the dataset comes out at 0 meV/atom. As for the raw total energy: -5.89 eV/atom. The formation energy comes out at -0.594 eV per atom. For the size of the total moment, the calculation gives 0.0 μB/f.u.


VASP calculation (GGA-PBE) on PmBiPdRh after structural relaxation.

The space group is F-43m (No. 216) and the conventional cell measures 6.9667, 6.9667 and 6.9667 Å, with angles of 90.00, 90.00 and 90.00 degrees. The inequivalent atoms are Pm at (0.0000, 0.0000, 0.0000), Bi at (0.0000, 0.0000, 0.5000), Pd at (0.2500, 0.2500, 0.7500) and Rh at (0.2500, 0.2500, 0.2500).

The value obtained for the density of states at the Fermi level is 3.277 states/eV/f.u. The excess energy over the best structure of this formula in the dataset comes out at 22 meV/atom. As for the raw total energy: -5.87 eV/atom. The formation energy comes out at -0.572 eV per atom. For the size of the total moment, the calculation gives 0.0 μB/f.u.


VASP calculation (GGA-PBE) on PmBiPdRu after structural relaxation.

The space group is F-43m (No. 216) and the conventional cell measures 6.9261, 6.9261 and 6.9261 Å, with angles of 90.00, 90.00 and 90.00 degrees. The inequivalent atoms are Pm at (0.0000, 0.0000, 0.0000), Bi at (0.0000, 0.0000, 0.5000), Pd at (0.2500, 0.2500, 0.2500) and Ru at (0.2500, 0.2500, 0.7500).

The value obtained for the density of states at the Fermi level is 4.089 states/eV/f.u. As for the raw total energy: -6.04 eV/atom. The formation energy comes out at -0.262 eV per atom. For the size of the total moment, the calculation gives 0.0 μB/f.u.